# Mg2Hg | the Alexandria database | meta-GGA SCAN | single point on PBEsol structure
# DOS at the Fermi energy: 8.316 states/eV/cell
# final energy: -26.31 eV/atom
# size of the total moment: 0.00 μB per formula unit
# ΔH_f (0 K): -275 meV per atom
data_Mg2Hg
_symmetry_space_group_name_H-M 'I 41/a m d'
_symmetry_Int_Tables_number 141
_cell_length_a 4.286
_cell_length_b 4.286
_cell_length_c 26.906
_cell_angle_alpha 90.00
_cell_angle_beta 90.00
_cell_angle_gamma 90.00
loop_
_symmetry_equiv_pos_as_xyz
'x,y,z'
'-x,-y,-z'
'-y+1/4,x+3/4,z+1/4'
'y+1/4,-x+3/4,-z+1/4'
'-x+1/2,-y,z+1/2'
'x+1/2,y,-z+1/2'
'y+1/4,-x+1/4,z+3/4'
'-y+1/4,x+1/4,-z+3/4'
'x,-y,-z'
'-x,y,z'
'-y+1/4,-x+1/4,-z+3/4'
'y+1/4,x+1/4,z+3/4'
'-x+1/2,y,-z+1/2'
'x+1/2,-y,z+1/2'
'y+1/4,x+3/4,-z+1/4'
'-y+1/4,-x+3/4,z+1/4'
'x+1/2,y+1/2,z+1/2'
'-x+1/2,-y+1/2,-z+1/2'
'-y+3/4,x+1/4,z+3/4'
'y+3/4,-x+1/4,-z+3/4'
'-x,-y+1/2,z'
'x,y+1/2,-z'
'y+3/4,-x+3/4,z+1/4'
'-y+3/4,x+3/4,-z+1/4'
'x+1/2,-y+1/2,-z+1/2'
'-x+1/2,y+1/2,z+1/2'
'-y+3/4,-x+3/4,-z+1/4'
'y+3/4,x+3/4,z+1/4'
'-x,y+1/2,-z'
'x,-y+1/2,z'
'y+3/4,x+1/4,-z+3/4'
'-y+3/4,-x+1/4,z+3/4'
loop_
_atom_site_label
_atom_site_type_symbol
_atom_site_fract_x
_atom_site_fract_y
_atom_site_fract_z
Mg1 Mg 0.000 0.250 0.124
Mg2 Mg 0.000 0.250 0.789
Hg1 Hg 0.000 0.250 0.296